Record 1
# Ta2BeCo | Alexandria | GGA-PBE | optimized geometry
# formation enthalpy at 0 K: -0.034 eV/atom
data_Ta2BeCo
_chemical_formula_sum 'Ta2 Be1 Co1'
_cell_length_a 2.8243
_cell_length_b 2.8243
_cell_length_c 6.9544
_cell_angle_alpha 90.00
_cell_angle_beta 90.00
_cell_angle_gamma 90.00
_symmetry_space_group_name_H-M 'P 4/m m m'
_symmetry_Int_Tables_number 123
_symmetry_space_group_name_Hall '-P 4 2'
loop_
_atom_site_label
_atom_site_type_symbol
_atom_site_fract_x
_atom_site_fract_y
_atom_site_fract_z
Ta1 Ta 0.0000 0.0000 0.2483
Be1 Be 0.5000 0.5000 0.0000
Co1 Co 0.5000 0.5000 0.5000


Record 2
# Fe4Cl | Alexandria | GGA-PBE | optimized geometry
# formation energy without anion corrections: 384 meV per atom
# offset from the most stable computed form: 0.000 eV/atom
data_Fe4Cl
_chemical_formula_sum 'Fe8 Cl2'
_cell_length_a 6.7291
_cell_length_b 6.7291
_cell_length_c 2.9126
_cell_angle_alpha 90.00
_cell_angle_beta 90.00
_cell_angle_gamma 90.00
_symmetry_space_group_name_H-M 'I 4/m'
_symmetry_Int_Tables_number 87
_symmetry_space_group_name_Hall '-I 4'
loop_
_atom_site_label
_atom_site_type_symbol
_atom_site_fract_x
_atom_site_fract_y
_atom_site_fract_z
Fe1 Fe 0.0889 0.3089 0.0000
Cl1 Cl 0.0000 0.0000 0.5000


Record 3
# MnFe2Bi2 | Alexandria | GGA-PBE | optimized geometry
# offset from the most stable computed form: 0.067 eV/atom
# formation enthalpy at 0 K: 0.823 eV/atom
data_MnFe2Bi2
_chemical_formula_sum 'Mn2 Fe4 Bi4'
_cell_length_a 5.0803
_cell_length_b 5.0803
_cell_length_c 7.5256
_cell_angle_alpha 90.00
_cell_angle_beta 90.00
_cell_angle_gamma 90.00
_symmetry_space_group_name_H-M 'I 4/m m m'
_symmetry_Int_Tables_number 139
_symmetry_space_group_name_Hall '-I 4 2'
loop_
_atom_site_label
_atom_site_type_symbol
_atom_site_fract_x
_atom_site_fract_y
_atom_site_fract_z
Mn1 Mn 0.0000 0.0000 0.0000
Fe1 Fe 0.0000 0.0000 0.3614
Bi1 Bi 0.0000 0.5000 0.2500